A plane-wave DFT calculation with PBE was carried out for a geometry-optimized YZrCoBi structure.

Results
offset from the most stable computed form	0	meV/atom
density	8.56	g/cm3
E	-25.089	eV/f.u.
spin magnetization	11.76	μB/cell
V	21.718	Å³/atom

abc: 7.030 7.030 7.030
angles: 90.00 90.00 90.00
Fractional coordinates of all 16 atoms:
Y 0.000 0.000 0.000
Y 0.000 0.500 0.500
Y 0.500 0.000 0.500
Y 0.500 0.500 0.000
Zr 0.250 0.250 0.250
Zr 0.250 0.750 0.750
Zr 0.750 0.250 0.750
Zr 0.750 0.750 0.250
Co 0.250 0.250 0.750
Co 0.250 0.750 0.250
Co 0.750 0.250 0.250
Co 0.750 0.750 0.750
Bi 0.000 0.000 0.500
Bi 0.000 0.500 0.000
Bi 0.500 0.000 0.000
Bi 0.500 0.500 0.500



A plane-wave DFT calculation with PBE was carried out for a geometry-optimized ZnCo2Bi structure.

Results
offset from the most stable computed form	0	meV/atom
density	10.38	g/cm3
E	-17.367	eV/f.u.
spin magnetization	9.06	μB/cell
V	15.691	Å³/atom

abc: 6.309 6.309 6.309
angles: 90.00 90.00 90.00
Fractional coordinates of all 16 atoms:
Zn 0.000 0.000 0.000
Zn 0.000 0.500 0.500
Zn 0.500 0.000 0.500
Zn 0.500 0.500 0.000
Co 0.000 0.000 0.500
Co 0.000 0.500 0.000
Co 0.250 0.250 0.250
Co 0.250 0.750 0.750
Co 0.500 0.000 0.000
Co 0.500 0.500 0.500
Co 0.750 0.250 0.750
Co 0.750 0.750 0.250
Bi 0.250 0.250 0.750
Bi 0.250 0.750 0.250
Bi 0.750 0.250 0.250
Bi 0.750 0.750 0.750



- Which of these has the lowest V?
  ZnCo2Bi